{
  "formula": "ZnCo2Ge",
  "functional": "SCAN",
  "state": "PBEsol geometry",
  "lattice_angstrom": [[3.997, 0.000, 0.000], [1.999, 3.462, 0.000], [1.999, 1.154, 3.264]],
  "species": ["Co", "Co", "Ge", "Zn"],
  "fractional_positions": [[0.250, 0.250, 0.250], [0.750, 0.750, 0.750], [0.500, 0.500, 0.500], [0.000, 0.000, 0.000]],
  "total_energy_ev_per_cell": -67.478,
  "volume_a3_per_atom": 11.3
}

=====

{
  "formula": "Zr4Co7Ge6",
  "functional": "SCAN",
  "state": "PBEsol geometry",
  "lattice_angstrom": [[6.736, 0.000, 0.000], [-2.245, 6.350, 0.000], [-2.245, -3.175, 5.500]],
  "species": ["Ge", "Ge", "Ge", "Ge", "Ge", "Ge", "Co", "Co", "Co", "Co", "Co", "Co", "Co", "Zr", "Zr", "Zr", "Zr"],
  "fractional_positions": [[0.681, 0.681, 0.000], [0.681, 0.000, 0.681], [0.000, 0.319, 0.319], [0.000, 0.681, 0.681], [0.319, 0.000, 0.319], [0.319, 0.319, 0.000], [0.500, 0.750, 0.250], [0.250, 0.750, 0.500], [0.750, 0.500, 0.250], [0.000, 0.000, 0.000], [0.500, 0.250, 0.750], [0.250, 0.500, 0.750], [0.750, 0.250, 0.500], [0.000, 0.500, 0.000], [0.500, 0.500, 0.500], [0.500, 0.000, 0.000], [0.000, 0.000, 0.500]],
  "total_energy_ev_per_cell": -368.742,
  "volume_a3_per_atom": 13.8
}

=====

{
  "formula": "ZrCoGe2",
  "functional": "SCAN",
  "state": "PBEsol geometry",
  "lattice_angstrom": [[4.431, 0.000, 0.000], [2.216, 3.837, 0.000], [2.216, 1.279, 3.618]],
  "species": ["Co", "Ge", "Ge", "Zr"],
  "fractional_positions": [[0.000, 0.000, 0.000], [0.250, 0.250, 0.250], [0.750, 0.750, 0.750], [0.500, 0.500, 0.500]],
  "total_energy_ev_per_cell": -86.449,
  "volume_a3_per_atom": 15.4
}